[1]
The following is a PBE-GGA calculation of an optimized crystal structure of CsHoP2Pt4, from Alexandria via LeMat-Bulk.

The structure in POSCAR format:
```
CsHoP2Pt4
1.0
-3.175 -0.603 -2.433
2.505 -0.605 -3.118
0.284 -11.079 2.376
Cs Ho P Pt
1 1 2 4
Direct
0.000 0.000 0.500
0.000 0.000 0.000
0.500 0.500 0.292
0.500 0.500 0.708
0.000 0.500 0.188
0.500 0.000 0.812
0.500 0.000 0.188
0.000 0.500 0.812
```

Values from the calculation:
Crystal system ... tetragonal
Energy ... -46.492 eV for the cell shown
Fermi-level density of states ... 4.4 states/eV/f.u.
Mass density ... 10.2 g cm⁻³

***

[2]
The following is a PBE-GGA calculation of an optimized crystal structure of Ca6Hg2S, from Alexandria via LeMat-Bulk.

The structure in POSCAR format:
```
Ca6Hg2S
1.0
6.963 0.000 0.000
0.000 8.024 0.000
0.333 0.000 10.414
Ca Hg S
12 4 2
Direct
0.127 0.033 0.247
0.158 0.314 0.560
0.170 0.318 0.942
0.330 0.818 0.558
0.342 0.814 0.940
0.373 0.533 0.253
0.873 0.967 0.753
0.842 0.686 0.440
0.830 0.682 0.058
0.670 0.182 0.442
0.658 0.186 0.060
0.627 0.467 0.747
0.048 0.607 0.753
0.452 0.107 0.747
0.548 0.893 0.253
0.952 0.393 0.247
0.500 0.500 0.000
0.000 0.000 0.500
```

Values from the calculation:
Uncorrected formation energy ... -0.694 eV/atom
Crystal system ... monoclinic
Fermi-level density of states ... 7.9 states/eV/f.u.
Mass density ... 3.8 g cm⁻³

***

> Which of these has the highest mass density?

CsHoP2Pt4